# 1
# La

A relaxed La crystal (PBE-GGA, OQMD via LeMat-Bulk).

E above lowest polymorph = 116 meV/atom
formation enthalpy at 0 K = 0.116 eV/atom
total magnetic moment = 0.042 μB/cell
uncorrected energy = -4.81 eV per atom

Structure (CIF):
```
data_La
_chemical_formula_sum 'La8'
_cell_length_a 6.606
_cell_length_b 6.606
_cell_length_c 6.606
_cell_angle_alpha 90.00
_cell_angle_beta 90.00
_cell_angle_gamma 90.00
_space_group_name_H-M_alt 'P m -3 n'
_space_group_IT_number 223
_space_group_name_Hall '-P 4n 2 3'
loop_
_atom_site_label
_atom_site_fract_x
_atom_site_fract_y
_atom_site_fract_z
La1 0.000 0.000 0.000
La2 0.000 0.250 0.500
```

# 2
# La

A relaxed La crystal (PBE-GGA, OQMD via LeMat-Bulk).

E above lowest polymorph = 133 meV/atom
formation enthalpy at 0 K = 0.133 eV/atom
total magnetic moment = 0.077 μB/cell
uncorrected energy = -4.79 eV per atom

Structure (CIF):
```
data_La
_chemical_formula_sum 'La8'
_cell_length_a 6.090
_cell_length_b 12.433
_cell_length_c 3.808
_cell_angle_alpha 90.00
_cell_angle_beta 90.00
_cell_angle_gamma 90.00
_space_group_name_H-M_alt 'C m c e'
_space_group_IT_number 64
_space_group_name_Hall '-C 2ac 2'
loop_
_atom_site_label
_atom_site_fract_x
_atom_site_fract_y
_atom_site_fract_z
La1 0.000 0.129 0.071
```

# 3
# La

A relaxed La crystal (PBE-GGA, OQMD via LeMat-Bulk).

E above lowest polymorph = 87 meV/atom
formation enthalpy at 0 K = 0.087 eV/atom
total magnetic moment = 0.583 μB/cell
uncorrected energy = -4.84 eV per atom

Structure (CIF):
```
data_La
_chemical_formula_sum 'La20'
_cell_length_a 8.969
_cell_length_b 8.969
_cell_length_c 8.969
_cell_angle_alpha 90.00
_cell_angle_beta 90.00
_cell_angle_gamma 90.00
_space_group_name_H-M_alt 'P 41 3 2'
_space_group_IT_number 213
_space_group_name_Hall 'P 4bd 2ab 3'
loop_
_atom_site_label
_atom_site_fract_x
_atom_site_fract_y
_atom_site_fract_z
La1 0.043 0.125 0.793
La2 0.064 0.936 0.436
```